Compound: LuPuTlBi
Source: Alexandria
Functional: PBE
Structure: relaxed

abc: 7.6432 7.6432 7.6432
angles: 90.00 90.00 90.00
Space group F-43m (No. 216)
Unique sites:
Lu1 0.0000 0.0000 0.0000 (multiplicity 4)
Pu1 0.0000 0.0000 0.5000 (multiplicity 4)
Tl1 0.2500 0.2500 0.2500 (multiplicity 4)
Bi1 0.2500 0.2500 0.7500 (multiplicity 4)

Crystal system: cubic
Total energy, eV/atom: -6.49
DFT formation energy, meV/atom: -218
N(E_F), states/eV/cell: 46.628

Compound: MnTe2Pb
Source: Alexandria
Functional: PBE
Structure: relaxed

abc: 4.4250 4.4250 6.3036
angles: 90.00 90.00 90.00
Space group P4mm (No. 99)
Unique sites:
Mn1 0.0000 0.0000 0.0000 (multiplicity 1)
Te1 0.0000 0.0000 0.5488 (multiplicity 1)
Te2 0.5000 0.5000 0.0330 (multiplicity 1)
Pb1 0.5000 0.5000 0.5298 (multiplicity 1)

Crystal system: tetragonal
Total energy, eV/atom: -4.90
Formation energy without anion corrections, kJ/mol of atoms: -10.3
N(E_F), states/eV/cell: 0.327

Compound: YZn2F
Source: Alexandria
Functional: PBE
Structure: relaxed

abc: 8.4163 8.4163 4.5365
angles: 90.00 90.00 90.00
Space group I-42d (No. 122)
Unique sites:
Y1 0.0000 0.0000 0.0000 (multiplicity 4)
Zn1 0.2108 0.2500 0.6250 (multiplicity 8)
F1 0.0000 0.0000 0.5000 (multiplicity 4)

Crystal system: tetragonal
Total energy, eV/atom: -3.77
Formation energy without anion corrections, kJ/mol of atoms: -101.0
N(E_F), states/eV/cell: 6.873
E above lowest polymorph, eV/atom: 0.000

Compound: LiRhI4
Source: Alexandria
Functional: PBE
Structure: relaxed

abc: 6.6741 4.0565 7.1490
angles: 90.00 90.11 90.00
Space group P2/m (No. 10)
Unique sites:
Li1 0.0000 0.0000 0.0000 (multiplicity 1)
Rh1 0.0000 0.5000 0.5000 (multiplicity 1)
I1 0.2201 0.0000 0.3563 (multiplicity 2)
I2 0.2386 0.5000 0.8105 (multiplicity 2)

Crystal system: monoclinic
Total energy, eV/atom: -3.11
Formation energy without anion corrections, kJ/mol of atoms: -51.8

Compound: SnOs3F
Source: Alexandria
Functional: PBE
Structure: relaxed

abc: 4.2878 4.2878 4.2878
angles: 90.00 90.00 90.00
Space group Pm-3m (No. 221)
Unique sites:
Sn1 0.0000 0.0000 0.0000 (multiplicity 1)
Os1 0.0000 0.5000 0.5000 (multiplicity 3)
F1 0.5000 0.5000 0.5000 (multiplicity 1)

Crystal system: cubic
Total energy, eV/atom: -6.37
Formation energy without anion corrections, kJ/mol of atoms: 149.1
N(E_F), states/eV/cell: 5.799
E above lowest polymorph, eV/atom: 0.000

Compound: BaY2Cu
Source: Alexandria
Functional: PBE
Structure: relaxed

abc: 3.6101 3.6182 9.7103
angles: 90.00 90.05 90.00
Space group P2/m (No. 10)
Unique sites:
Ba1 0.0000 0.0000 0.0000 (multiplicity 1)
Y1 0.5004 0.5000 0.3344 (multiplicity 2)
Cu1 0.0000 0.0000 0.5000 (multiplicity 1)

Crystal system: monoclinic
Total energy, eV/atom: -4.70
DFT formation energy, meV/atom: 38
N(E_F), states/eV/cell: 5.363
E above lowest polymorph, eV/atom: 0.000

Compound: CsVH3
Source: Alexandria
Functional: PBE
Structure: relaxed

abc: 4.1422 4.1422 4.1422
angles: 90.00 90.00 90.00
Space group Pm-3m (No. 221)
Unique sites:
Cs1 0.0000 0.0000 0.0000 (multiplicity 1)
V1 0.5000 0.5000 0.5000 (multiplicity 1)
H1 0.0000 0.5000 0.5000 (multiplicity 3)

Crystal system: cubic
Total energy, eV/atom: -3.87

Compound: GeTeW
Source: Alexandria
Functional: PBE
Structure: relaxed

abc: 10.8725 3.3193 7.8910
angles: 90.00 106.45 90.00
Space group C2/m (No. 12)
Unique sites:
Ge1 0.2055 0.0000 0.2089 (multiplicity 4)
Te1 0.0265 0.5000 0.7286 (multiplicity 4)
W1 0.1473 0.0000 0.5102 (multiplicity 4)

Crystal system: monoclinic
Total energy, eV/atom: -6.60
Formation energy without anion corrections, kJ/mol of atoms: 29.4
N(E_F), states/eV/cell: 5.167
E above lowest polymorph, eV/atom: 0.100

Compound: Tb2Pr9Tm
Source: Alexandria
Functional: PBE
Structure: relaxed

abc: 5.1873 5.1873 15.5609
angles: 90.00 90.00 90.00
Space group P4/mmm (No. 123)
Unique sites:
Tb1 0.0000 0.0000 0.1674 (multiplicity 2)
Pr1 0.0000 0.5000 0.0000 (multiplicity 2)
Pr2 0.0000 0.5000 0.3343 (multiplicity 4)
Pr3 0.5000 0.5000 0.1672 (multiplicity 2)
Pr4 0.5000 0.5000 0.5000 (multiplicity 1)
Tm1 0.0000 0.0000 0.5000 (multiplicity 1)

Crystal system: tetragonal
Total energy, eV/atom: -4.71
DFT formation energy, meV/atom: 14
N(E_F), states/eV/cell: 20.056

Compound: Mn2CoP
Source: Alexandria
Functional: PBE
Structure: relaxed

abc: 2.6695 3.4998 4.8280
angles: 90.00 90.00 90.00
Space group Pmm2 (No. 25)
Unique sites:
Mn1 0.0000 0.0000 0.0000 (multiplicity 1)
Mn2 0.5000 0.5000 0.2188 (multiplicity 1)
Co1 0.5000 0.5000 0.7076 (multiplicity 1)
P1 0.0000 0.0000 0.5078 (multiplicity 1)

Crystal system: orthorhombic
Total energy, eV/atom: -7.83
DFT formation energy, meV/atom: -119
N(E_F), states/eV/cell: 3.842

Compound: Pm2Ho3Ir2
Source: Alexandria
Functional: PBE
Structure: relaxed

abc: 12.2257 3.8240 9.0056
angles: 90.00 116.80 90.00
Space group C2/m (No. 12)
Unique sites:
Pm1 0.1660 0.0000 0.3060 (multiplicity 4)
Ho1 0.0000 0.5000 0.5000 (multiplicity 2)
Ho2 0.1201 0.5000 0.9307 (multiplicity 4)
Ir1 0.1729 0.0000 0.7406 (multiplicity 4)

Crystal system: monoclinic
Total energy, eV/atom: -6.46
DFT formation energy, meV/atom: -605
N(E_F), states/eV/cell: 14.617

Compound: Sm2HfBr
Source: Alexandria
Functional: PBE
Structure: relaxed

abc: 3.3656 3.3656 33.9545
angles: 90.00 90.00 120.00
Space group R-3m (No. 166, hexagonal axes)
Unique sites:
Sm1 0.0000 0.0000 0.0950 (multiplicity 6)
Hf1 0.0000 0.0000 0.0000 (multiplicity 3)
Br1 0.0000 0.0000 0.5000 (multiplicity 3)

Crystal system: trigonal
Total energy, eV/atom: -5.35
Formation energy without anion corrections, kJ/mol of atoms: -7.8
N(E_F), states/eV/cell: 16.692

Compound: AuSeF3
Source: Alexandria
Functional: PBE
Structure: relaxed

abc: 4.3582 4.3582 4.3582
angles: 90.00 90.00 90.00
Space group Pm-3m (No. 221)
Unique sites:
Au1 0.0000 0.0000 0.0000 (multiplicity 1)
Se1 0.5000 0.5000 0.5000 (multiplicity 1)
F1 0.0000 0.5000 0.5000 (multiplicity 3)

Crystal system: cubic
Total energy, eV/atom: -2.92
Formation energy without anion corrections, kJ/mol of atoms: -42.6
N(E_F), states/eV/cell: 3.486
E above lowest polymorph, eV/atom: 0.000

Compound: MgNi
Source: Alexandria
Functional: PBE
Structure: relaxed

abc: 2.8320 2.8320 26.0874
angles: 90.00 90.00 120.00
Space group R-3m (No. 166, hexagonal axes)
Unique sites:
Mg1 0.0000 0.0000 0.1140 (multiplicity 6)
Ni1 0.0000 0.0000 0.3693 (multiplicity 6)

Crystal system: trigonal
Total energy, eV/atom: -3.55
DFT formation energy, meV/atom: 137
N(E_F), states/eV/cell: 13.114